Computed, not measured: an optimized crystal structure of Ac6Ru2I3N at the PBE-GGA level of DFT.

Geometry as extended XYZ:
```
12
Lattice="-1.763 -6.616 2.636 5.354 0.662 -4.973 4.551 2.967 7.095" Properties=species:S:1:pos:R:3 pbc="T T T"
Ac 5.423 -3.371 5.207
Ac 3.486 -3.896 -0.465
Ac 2.720 0.384 -0.448
Ac 7.675 -1.067 2.799
Ac 4.656 0.909 5.224
Ac 0.467 -1.919 1.960
Ru 2.979 -1.766 -2.434
Ru 0.612 -4.188 0.098
I 6.407 0.895 -0.118
I 1.735 -3.882 4.877
I 4.071 -1.493 2.379
N 0.000 0.000 0.000
```

Summary:
Total energy in eV per cell: -66.22
ΔE_f (raw) in meV/atom: -837